No. 1
## Sr2Si (meta-GGA SCAN)

Data for Sr2Si at its PBEsol-relaxed geometry.

Unit cell a=3.7418 b=3.7418 c=15.5048 alpha=96.93 beta=96.93 gamma=90.00
Closest atoms and distances in Å follow each position.
Sites, in units of the cell vectors:
1 Sr 0.5594 0.5594 0.1189  4 Si 3.21
2 Sr 0.4406 0.4406 0.8811  4 Si 3.21
3 Si 0.2500 0.7500 0.5000  8 Sr 3.21
4 Si 0.0000 0.0000 0.0000  8 Sr 3.21
5 Sr 0.6906 0.1906 0.3811  4 Si 3.21
6 Sr 0.8094 0.3094 0.6189  4 Si 3.21

The space-group type is I4_1/amd, No. 141. The calculation puts the density of states at the Fermi level at 0.770 states/eV per atom. The spin magnetization is 0.2 μB/f.u. The total energy comes out at -18.3559 eV/atom. The calculation puts the raw formation energy at -167.2 meV/atom.

No. 2
## SrTa2Si (meta-GGA SCAN)

Data for SrTa2Si at its PBEsol-relaxed geometry.

Unit cell a=3.2126 b=4.6508 c=6.5806 alpha=98.42 beta=90.00 gamma=110.20
Closest atoms and distances in Å follow each position.
Sites, in units of the cell vectors:
1 Si 0.5128 0.0256 0.5971  5 Ta 2.61-2.66
2 Sr 0.7677 0.5354 0.2645  5 Ta 3.21-3.56, 2 Sr 3.21, 3 Si 3.24-3.36
3 Ta 0.9776 0.9553 0.9056  2 Si 2.64, 3 Ta 2.72-2.73
4 Ta 0.2418 0.4837 0.7328  3 Si 2.61-2.66, 3 Ta 2.72-2.73

The space-group type is Cm, No. 8. The calculation puts the density of states at the Fermi level at 0.586 states/eV per atom. The spin magnetization is 0.0 μB/f.u. The total energy comes out at -41.0177 eV/atom. The calculation puts the raw formation energy at 346.7 meV/atom.

No. 3
## SrTa2Si (meta-GGA SCAN)

Data for SrTa2Si at its PBEsol-relaxed geometry.

Unit cell a=3.8102 b=4.4789 c=4.6062 alpha=90.00 beta=90.00 gamma=90.00
Closest atoms and distances in Å follow each position.
Sites, in units of the cell vectors:
1 Si 0.5000 0.0000 0.5000  4 Sr 2.94, 8 Ta 2.99-3.21
2 Ta 0.0000 0.0000 0.0000  4 Ta 2.94, 4 Si 2.99, 4 Sr 3.21
3 Sr 0.0000 0.5000 0.5000  4 Si 2.94, 8 Ta 2.99-3.21
4 Ta 0.5000 0.5000 0.0000  4 Ta 2.94, 4 Sr 2.99, 4 Si 3.21

The space-group type is Pmmm, No. 47. The calculation puts the density of states at the Fermi level at 1.200 states/eV per atom. The spin magnetization is 0.0 μB/f.u. The total energy comes out at -40.4967 eV/atom. The calculation puts the raw formation energy at 867.7 meV/atom.

No. 4
## SrTa2Si (meta-GGA SCAN)

Data for SrTa2Si at its PBEsol-relaxed geometry.

Unit cell a=3.4194 b=3.4194 c=7.1761 alpha=90.00 beta=90.00 gamma=90.00
Closest atoms and distances in Å follow each position.
Sites, in units of the cell vectors:
1 Ta 0.0000 0.0000 0.8321  1 Ta 2.41
2 Si 0.5000 0.5000 0.0000  8 Ta 2.70
3 Sr 0.5000 0.5000 0.5000  8 Ta 3.40, 4 Sr 3.42, 2 Si 3.59
4 Ta 0.0000 0.0000 0.1679  1 Ta 2.41

The space-group type is P4/mmm, No. 123. The calculation puts the density of states at the Fermi level at 0.676 states/eV per atom. The spin magnetization is 0.0 μB/f.u. The total energy comes out at -40.9849 eV/atom. The calculation puts the raw formation energy at 379.5 meV/atom.

No. 5
## SrTa2Si (meta-GGA SCAN)

Data for SrTa2Si at its PBEsol-relaxed geometry.

Unit cell a=3.4572 b=4.4657 c=6.0071 alpha=90.00 beta=101.54 gamma=90.00
Closest atoms and distances in Å follow each position.
Sites, in units of the cell vectors:
1 Ta 0.6806 0.0000 0.8355  2 Ta 2.54-2.65, 2 Si 2.57
2 Si 0.5000 0.5000 0.0000  4 Ta 2.57
3 Sr 0.0000 0.5000 0.5000  2 Si 3.15, 4 Ta 3.34, 2 Sr 3.46
4 Ta 0.3194 0.0000 0.1645  2 Ta 2.54-2.65, 2 Si 2.57

The space-group type is P2/m, No. 10. The calculation puts the density of states at the Fermi level at 0.679 states/eV per atom. The spin magnetization is 0.0 μB/f.u. The total energy comes out at -40.8507 eV/atom. The calculation puts the raw formation energy at 513.7 meV/atom.

No. 6
## SrSi2Tc (meta-GGA SCAN)

Data for SrSi2Tc at its PBEsol-relaxed geometry.

Unit cell a=4.0965 b=4.0965 c=5.1615 alpha=113.38 beta=113.38 gamma=90.00
Closest atoms and distances in Å follow each position.
Sites, in units of the cell vectors:
1 Sr 0.5000 0.5000 0.0000  8 Si 2.90-2.96, 4 Tc 2.96
2 Si 0.7500 0.2500 0.5000  4 Tc 2.90, 4 Sr 2.96, 4 Si 2.96
3 Si 0.0000 0.0000 0.0000  4 Sr 2.90, 4 Tc 2.96, 4 Si 2.96
4 Tc 0.2500 0.7500 0.5000  8 Si 2.90-2.96, 4 Sr 2.96

The space-group type is I-4m2, No. 119. The calculation puts the density of states at the Fermi level at 0.665 states/eV per atom. The spin magnetization is 2.0 μB/f.u. The calculation puts the relative energy among the computed polymorphs at 777.2 meV/atom. The total energy comes out at -18.6245 eV/atom. The calculation puts the raw formation energy at 717.2 meV/atom.

No. 7
## Sr2SiTc (meta-GGA SCAN)

Data for Sr2SiTc at its PBEsol-relaxed geometry.

Unit cell a=4.9626 b=4.9627 c=4.9626 alpha=60.00 beta=90.00 gamma=120.00
Closest atoms and distances in Å follow each position.
Sites, in units of the cell vectors:
1 Tc 0.5000 0.0000 0.5000  4 Sr 3.04, 4 Si 3.04
2 Sr 0.2500 0.5000 0.2500  4 Tc 3.04, 4 Sr 3.04
3 Si 0.7500 0.5000 0.7500  4 Tc 3.04, 4 Sr 3.04
4 Sr 0.0000 0.0000 0.0000  4 Sr 3.04, 4 Si 3.04

The space-group type is F-43m, No. 216. The calculation puts the density of states at the Fermi level at 0.438 states/eV per atom. The spin magnetization is 2.7 μB/f.u. The total energy comes out at -21.8873 eV/atom. The calculation puts the raw formation energy at 519.3 meV/atom.

No. 8
## SrSi2Tc (meta-GGA SCAN)

Data for SrSi2Tc at its PBEsol-relaxed geometry.

Unit cell a=3.1452 b=3.8189 c=7.0684 alpha=105.67 beta=102.85 gamma=90.00
Closest atoms and distances in Å follow each position.
Sites, in units of the cell vectors:
1 Si 0.7700 0.2700 0.5399  4 Tc 2.47, 2 Si 2.65
2 Sr 0.5518 0.5518 0.1036  6 Si 3.11-3.46, 2 Sr 3.15, 2 Tc 3.28
3 Si 0.9089 0.9089 0.8178  2 Tc 2.43, 2 Si 2.65
4 Tc 0.2693 0.7693 0.5387  6 Si 2.43-2.47

The space-group type is Imm2, No. 44. The calculation puts the density of states at the Fermi level at 0.417 states/eV per atom. The spin magnetization is 0.0 μB/f.u. The calculation puts the relative energy among the computed polymorphs at 0.0 meV/atom. The total energy comes out at -19.4016 eV/atom. The calculation puts the raw formation energy at -59.9 meV/atom.

No. 9
## Sr2SiTc (meta-GGA SCAN)

Data for Sr2SiTc at its PBEsol-relaxed geometry.

Unit cell a=3.1125 b=3.1125 c=9.4538 alpha=90.00 beta=90.00 gamma=90.00
Closest atoms and distances in Å follow each position.
Sites, in units of the cell vectors:
1 Sr 0.0000 0.0000 0.7465  4 Sr 3.11, 4 Si 3.21, 4 Tc 3.25
2 Sr 0.0000 0.0000 0.2535  4 Sr 3.11, 4 Si 3.21, 4 Tc 3.25
3 Tc 0.5000 0.5000 0.0000  4 Tc 3.11, 8 Sr 3.25
4 Si 0.5000 0.5000 0.5000  4 Si 3.11, 8 Sr 3.21

The space-group type is P4/mmm, No. 123. The calculation puts the density of states at the Fermi level at 0.887 states/eV per atom. The spin magnetization is 0.9 μB/f.u. The total energy comes out at -21.7583 eV/atom. The calculation puts the raw formation energy at 648.2 meV/atom.

No. 10
## Sr2SiTe (meta-GGA SCAN)

Data for Sr2SiTe at its PBEsol-relaxed geometry.

Unit cell a=4.3770 b=4.8177 c=6.3456 alpha=98.71 beta=110.17 gamma=90.00
Closest atoms and distances in Å follow each position.
Sites, in units of the cell vectors:
1 Si 0.7224 0.0852 0.4448  1 Te 2.76
2 Sr 0.2535 0.6128 0.5071  4 Si 3.22-3.33, 3 Te 3.31-3.45, 1 Sr 3.58
3 Sr 0.9897 0.1345 0.9795  1 Si 3.16, 4 Te 3.24-3.35
4 Te 0.5343 0.6675 0.0687  1 Si 2.76

The space-group type is Cm, No. 8. The calculation puts the density of states at the Fermi level at 0.361 states/eV per atom. The spin magnetization is 0.0 μB/f.u. The calculation puts the relative energy among the computed polymorphs at 0.0 meV/atom. The total energy comes out at -23.7432 eV/atom. The calculation puts the raw formation energy at -788.9 meV/atom.

No. 11
## Sr2SiTe (meta-GGA SCAN)

Data for Sr2SiTe at its PBEsol-relaxed geometry.

Unit cell a=4.2139 b=4.8564 c=6.6322 alpha=111.48 beta=108.52 gamma=90.00
Closest atoms and distances in Å follow each position.
Sites, in units of the cell vectors:
1 Te 0.5147 0.5147 0.0293  4 Sr 3.22, 2 Si 3.30
2 Sr 0.7566 0.2566 0.5133  4 Si 3.23
3 Si 0.2334 0.7334 0.4668  4 Sr 3.23, 2 Te 3.30
4 Sr 0.9953 0.9953 0.9906  4 Te 3.22

The space-group type is Imm2, No. 44. The calculation puts the density of states at the Fermi level at 0.539 states/eV per atom. The spin magnetization is 0.0 μB/f.u. The calculation puts the relative energy among the computed polymorphs at 161.5 meV/atom. The total energy comes out at -23.5817 eV/atom. The calculation puts the raw formation energy at -627.4 meV/atom.

No. 12
## SrTl2Si (meta-GGA SCAN)

Data for SrTl2Si at its PBEsol-relaxed geometry.

Unit cell a=4.5880 b=4.5880 c=4.8820 alpha=90.00 beta=90.00 gamma=90.00
Closest atoms and distances in Å follow each position.
Sites, in units of the cell vectors:
1 Sr 0.0000 0.0000 0.5000  4 Si 3.24, 8 Tl 3.35
2 Si 0.5000 0.5000 0.5000  4 Sr 3.24, 8 Tl 3.35
3 Tl 0.5000 0.0000 0.0000  4 Tl 3.24, 4 Sr 3.35, 4 Si 3.35
4 Tl 0.0000 0.5000 0.0000  4 Tl 3.24, 4 Sr 3.35, 4 Si 3.35

The space-group type is P4/mmm, No. 123. The calculation puts the density of states at the Fermi level at 0.564 states/eV per atom. The spin magnetization is 0.0 μB/f.u. The total energy comes out at -44.3215 eV/atom. The calculation puts the raw formation energy at -69.6 meV/atom.

- Look up the raw formation energy of the seventh one.
  519.3 meV/atom

- Which of these has the highest raw formation energy?
  number 3

- Which value of spin magnetization does entry 1 give?
  0.2 μB/f.u.

Please write out number 1 again, unchanged.
## Sr2Si (meta-GGA SCAN)

Data for Sr2Si at its PBEsol-relaxed geometry.

Unit cell a=3.7418 b=3.7418 c=15.5048 alpha=96.93 beta=96.93 gamma=90.00
Closest atoms and distances in Å follow each position.
Sites, in units of the cell vectors:
1 Sr 0.5594 0.5594 0.1189  4 Si 3.21
2 Sr 0.4406 0.4406 0.8811  4 Si 3.21
3 Si 0.2500 0.7500 0.5000  8 Sr 3.21
4 Si 0.0000 0.0000 0.0000  8 Sr 3.21
5 Sr 0.6906 0.1906 0.3811  4 Si 3.21
6 Sr 0.8094 0.3094 0.6189  4 Si 3.21

The space-group type is I4_1/amd, No. 141. The calculation puts the density of states at the Fermi level at 0.770 states/eV per atom. The spin magnetization is 0.2 μB/f.u. The total energy comes out at -18.3559 eV/atom. The calculation puts the raw formation energy at -167.2 meV/atom.